<a>
The following is a GGA+U calculation of CrSnSbO6 after structural relaxation, from Alexandria via LeMat-Bulk.

It has space group P4_2nm (No. 102), with a = 4.722 Å, b = 4.722 Å, c = 9.466 Å, α = 90.00°, β = 90.00° and γ = 90.00°. The inequivalent atoms are Cr at (0.000, 0.000, 0.000), Sn at (0.000, 0.000, 0.667), Sb at (0.000, 0.000, 0.334), O at (0.188, 0.188, 0.168), O at (0.196, 0.196, 0.496) and O at (0.197, 0.197, 0.837).

***

<b>
The following is a GGA+U calculation of CrSnSbO6 after structural relaxation, from Alexandria via LeMat-Bulk.

It has space group P-31c (No. 163), with a = 5.1638 Å, b = 5.1638 Å, c = 8.9950 Å, α = 90.00°, β = 90.00° and γ = 120.00°. The inequivalent atoms are Cr at (0.3333, 0.6667, 0.2500), Sn at (0.0000, 0.0000, 0.0000), Sb at (0.3333, 0.6667, 0.7500) and O at (0.0006, 0.3437, 0.6299).

***

Short version: <b> is the least stable of them.

***

<a>
The following is a GGA+U calculation of TiCrSbO6 after structural relaxation, from Alexandria via LeMat-Bulk.

It has space group P-31c (No. 163), with a = 5.1094 Å, b = 5.1094 Å, c = 8.8001 Å, α = 90.00°, β = 90.00° and γ = 120.00°. The inequivalent atoms are Ti at (0.3333, 0.6667, 0.2500), Cr at (0.0000, 0.0000, 0.0000), Sb at (0.3333, 0.6667, 0.7500) and O at (0.0048, 0.3423, 0.1289).

***

<b>
The following is a GGA+U calculation of TiCrSbO6 after structural relaxation, from Alexandria via LeMat-Bulk.

It has space group P4_2nm (No. 102), with a = 4.673 Å, b = 4.673 Å, c = 9.181 Å, α = 90.00°, β = 90.00° and γ = 90.00°. The inequivalent atoms are Ti at (0.000, 0.000, 0.000), Cr at (0.000, 0.000, 0.671), Sb at (0.000, 0.000, 0.338), O at (0.193, 0.193, 0.169), O at (0.194, 0.194, 0.842) and O at (0.197, 0.197, 0.503).

***

Short version: <a> is the least stable of them.